Here is a relaxed Pm3PuTh2P6 crystal from the Alexandria database. Energies are from GGA-PBE.

Lattice parameters (Å, degrees): 17.959 4.125 8.227 90.00 103.30 90.00
Space group C2/m (No. 12)
Unique sites:
1 Pm 0.000 0.000 0.000 x2
2 Pm 0.167 0.500 0.334 x4
3 Pu 0.000 0.000 0.500 x2
4 Th 0.165 0.500 0.830 x4
5 P 0.000 0.500 0.257 x4
6 P 0.165 0.000 0.583 x4
7 P 0.168 0.000 0.082 x4

For the density of states at the Fermi level, the calculation gives 28.71 states/eV per cell. Its energy of formation from the pure elements is -1.5091 eV per atom. As for the calculated volume: 24.72 Å³ per atom. The density comes out at 7.44 g/cm3.